This record from Alexandria via LeMat-Bulk describes an optimized crystal structure of Tc3Ir. The functional is PBE.

```
data_Tc3Ir
_chemical_formula_sum 'Tc6 Ir2'
_cell_length_a 4.3649
_cell_length_b 5.5289
_cell_length_c 4.7955
_cell_angle_alpha 90.00
_cell_angle_beta 90.00
_cell_angle_gamma 90.00
_symmetry_space_group_name_H-M 'P 1'
_symmetry_Int_Tables_number 1
_symmetry_space_group_name_Hall 'P 1'
loop_
_atom_site_label
_atom_site_type_symbol
_atom_site_fract_x
_atom_site_fract_y
_atom_site_fract_z
Tc1 Tc 0.2500 0.0036 0.1636
Tc2 Tc 0.2500 0.4964 0.1636
Tc3 Tc 0.2500 0.7500 0.6722
Tc4 Tc 0.7500 0.2500 0.3278
Tc5 Tc 0.7500 0.5036 0.8364
Tc6 Tc 0.7500 0.9964 0.8364
Ir1 Ir 0.2500 0.2500 0.6682
Ir2 Ir 0.7500 0.7500 0.3318
```

Output
The calculation puts the volume at 14.47 Å³/atom. The calculation puts the formation enthalpy at 0 K at -200 meV per atom. Its excess energy over the best structure of this formula in the dataset is 16 meV per atom. Its density of states at the Fermi level is 0.767 states/eV per atom.